(1)
The following is a PBE calculation of a relaxed ZnAgAu2 crystal, from Alexandria.

Values from the calculation:
Its formation energy is -0.112 eV/atom. Its mass density is 13.7 g cm⁻³.

CIF file:
```
data_ZnAgAu2
_chemical_formula_sum 'Zn1 Ag1 Au2'
_symmetry_space_group_name_H-M 'P 1'
_symmetry_Int_Tables_number 1
_cell_length_a 4.124
_cell_length_b 4.123
_cell_length_c 4.035
_cell_angle_alpha 90.00
_cell_angle_beta 90.00
_cell_angle_gamma 90.00
loop_
_symmetry_equiv_pos_as_xyz
'x,y,z'
loop_
_atom_site_label
_atom_site_type_symbol
_atom_site_fract_x
_atom_site_fract_y
_atom_site_fract_z
Zn1 Zn 0.500 0.000 0.500
Au1 Au 0.500 0.500 0.000
Au2 Au 0.000 0.000 0.000
Ag1 Ag 0.000 0.500 0.500
```

---

(2)
The following is a PBE calculation of a relaxed ScMoPd2 crystal, from Alexandria.

Values from the calculation:
Its formation energy is -0.159 eV/atom. The excess energy over the best structure of this formula in the dataset comes out at 0.00 eV per formula unit. Its mass density is 8.6 g cm⁻³.

CIF file:
```
data_ScMoPd2
_chemical_formula_sum 'Sc1 Mo1 Pd2'
_symmetry_space_group_name_H-M 'P 1'
_symmetry_Int_Tables_number 1
_cell_length_a 4.588
_cell_length_b 4.588
_cell_length_c 4.588
_cell_angle_alpha 60.00
_cell_angle_beta 60.00
_cell_angle_gamma 60.00
loop_
_symmetry_equiv_pos_as_xyz
'x,y,z'
loop_
_atom_site_label
_atom_site_type_symbol
_atom_site_fract_x
_atom_site_fract_y
_atom_site_fract_z
Pd1 Pd 0.750 0.750 0.750
Pd2 Pd 0.250 0.250 0.250
Mo1 Mo 0.500 0.500 0.500
Sc1 Sc 0.000 0.000 0.000
```

---

What did the second record say?
The following is a PBE calculation of a relaxed ScMoPd2 crystal, from Alexandria.

Values from the calculation:
Its formation energy is -0.159 eV/atom. The excess energy over the best structure of this formula in the dataset comes out at 0.00 eV per formula unit. Its mass density is 8.6 g cm⁻³.

CIF file:
```
data_ScMoPd2
_chemical_formula_sum 'Sc1 Mo1 Pd2'
_symmetry_space_group_name_H-M 'P 1'
_symmetry_Int_Tables_number 1
_cell_length_a 4.588
_cell_length_b 4.588
_cell_length_c 4.588
_cell_angle_alpha 60.00
_cell_angle_beta 60.00
_cell_angle_gamma 60.00
loop_
_symmetry_equiv_pos_as_xyz
'x,y,z'
loop_
_atom_site_label
_atom_site_type_symbol
_atom_site_fract_x
_atom_site_fract_y
_atom_site_fract_z
Pd1 Pd 0.750 0.750 0.750
Pd2 Pd 0.250 0.250 0.250
Mo1 Mo 0.500 0.500 0.500
Sc1 Sc 0.000 0.000 0.000
```

---

The highest mass density belongs to which entry? ZnAgAu2

---

What is the mass density in the second record? 8.6 g cm⁻³

---

Number 2 is which compound? ScMoPd2